Entry 1:
## Tb6Cu5Ru (PBE)

Data for a relaxed structure of Tb6Cu5Ru.

The volume comes out at 20.966 Å³ per atom. The theoretical density comes out at 9058 kg/m3. The calculation puts the formation energy from the elements at -0.2677 eV/atom.

It has space group P2/m (No. 10), with a = 4.9221 Å, b = 6.9320 Å, c = 7.7735 Å, α = 90.00°, β = 108.46° and γ = 90.00°. The asymmetric unit holds Tb at (0.0000, 0.2435, 0.0000), Tb at (0.3367, 0.2469, 0.6722), Cu at (0.1645, 0.5000, 0.3284), Cu at (0.1677, 0.0000, 0.3379), Cu at (0.5000, 0.5000, 0.0000) and Ru at (0.5000, 0.0000, 0.0000).

=====

Entry 2:
## MgBeIn2 (PBE)

Data for a relaxed structure of MgBeIn2.

The volume comes out at 20.551 Å³ per atom. The energy above the most stable polymorph in this dataset comes out at 0 meV/atom. The theoretical density comes out at 5312 kg/m3. The calculation puts the formation energy from the elements at 0.2290 eV/atom.

It has space group R-3m (No. 166, hexagonal axes), with a = 3.2850 Å, b = 3.2850 Å, c = 26.3883 Å, α = 90.00°, β = 90.00° and γ = 120.00°. The asymmetric unit holds Mg at (0.0000, 0.0000, 0.0000), Be at (0.0000, 0.0000, 0.5000) and In at (0.0000, 0.0000, 0.2407).

=====

Entry 3:
## CdAgPbO4 (PBE)

Data for a relaxed structure of CdAgPbO4.

For the raw total energy, the calculation gives -4.56 eV per atom. The volume comes out at 15.517 Å³ per atom. The theoretical density comes out at 7514 kg/m3.

It has space group Imma (No. 74), with a = 6.4755 Å, b = 6.6445 Å, c = 10.0977 Å, α = 90.00°, β = 90.00° and γ = 90.00°. The asymmetric unit holds Cd at (0.0000, 0.2500, 0.1513), Ag at (0.2500, 0.2500, 0.7500), Pb at (0.0000, 0.0000, 0.5000), O at (0.0000, 0.0309, 0.7224) and O at (0.2276, 0.2500, 0.4850).

=====

Entry 4:
## Pm5NdSc2 (PBE)

Data for a relaxed structure of Pm5NdSc2.

The volume comes out at 32.303 Å³ per atom. The energy above the most stable polymorph in this dataset comes out at 104 meV/atom. The theoretical density comes out at 6163 kg/m3. The calculation puts the formation energy from the elements at 0.1390 eV/atom.

It has space group I4/mcm (No. 140), with a = 9.1402 Å, b = 9.1402 Å, c = 12.3735 Å, α = 90.00°, β = 90.00° and γ = 90.00°. The asymmetric unit holds Pm at (0.0000, 0.0000, 0.0000), Pm at (0.1456, 0.3544, 0.1578), Nd at (0.0000, 0.0000, 0.2500) and Sc at (0.1540, 0.3460, 0.5000).

=====

Question: Which of these has the lowest theoretical density?
Answer: MgBeIn2

=====

Question: What is the volume in the second record?
Answer: 20.551 Å³ per atom

=====

Question: The highest theoretical density belongs to which entry?
Answer: Tb6Cu5Ru